[1]
Density functional theory data (GGA-PBE) for a relaxed Rb2Ba2US6 crystal.

Cell and atoms, written as POSCAR:
```
Rb2Ba2US6
1.0
7.571 0.109 0.104
-3.647 6.636 0.104
-1.369 -2.353 7.664
S Ba Rb U
6 2 2 1
direct
0.342 0.059 0.690
0.794 0.794 0.694
0.206 0.206 0.306
0.941 0.658 0.310
0.059 0.342 0.690
0.658 0.941 0.310
0.663 0.337 0.500
0.337 0.663 0.500
0.830 0.170 0.000
0.170 0.830 0.000
0.000 0.000 0.500
```

Calculated values
As for the theoretical density: 3.713 g cm⁻³. The calculated volume is 391.73 Å³ per cell. As for the raw formation energy: -1577 meV per atom.

[2]
Density functional theory data (GGA-PBE) for a relaxed RbBa2US5 crystal.

Cell and atoms, written as POSCAR:
```
RbBa2US5
1.0
-0.366 -4.944 -1.495
3.936 1.655 -6.437
4.574 0.117 7.462
Ba S Rb U
2 5 1 1
direct
0.787 0.787 0.574
0.213 0.213 0.426
0.370 0.641 0.739
0.370 0.098 0.739
0.630 0.902 0.261
0.000 0.000 0.000
0.630 0.359 0.261
0.000 0.500 0.000
0.500 0.000 0.000
```

Calculated values
As for the theoretical density: 4.246 g cm⁻³. The calculated volume is 296.61 Å³ per cell. As for the raw formation energy: -1695 meV per atom.

[3]
Density functional theory data (GGA-PBE) for a relaxed Rb2BaU2S7 crystal.

Cell and atoms, written as POSCAR:
```
Rb2BaU2S7
1.0
5.237 -0.004 0.013
0.003 5.237 0.013
2.586 2.583 13.539
Rb S Ba U
2 7 1 2
direct
0.186 0.186 0.628
0.814 0.814 0.372
0.688 0.688 0.624
0.088 0.588 0.824
0.912 0.412 0.176
0.588 0.088 0.824
0.500 0.500 0.000
0.412 0.912 0.176
0.312 0.312 0.376
0.000 0.000 0.000
0.597 0.597 0.806
0.403 0.403 0.194
```

Calculated values
As for the theoretical density: 4.516 g cm⁻³. The calculated volume is 370.90 Å³ per cell. As for the raw formation energy: -1485 meV per atom.

[4]
Density functional theory data (GGA-PBE) for a relaxed Rb3Ba2US6 crystal.

Cell and atoms, written as POSCAR:
```
Rb3Ba2US6
1.0
7.716 0.004 -0.007
-3.853 6.685 -0.007
-1.296 -2.244 7.645
Ba U S Rb
2 1 6 3
direct
0.333 0.667 0.000
0.667 0.333 0.000
0.000 0.000 0.000
0.648 0.933 0.800
0.352 0.067 0.200
0.217 0.217 0.802
0.067 0.352 0.200
0.933 0.648 0.800
0.783 0.783 0.198
0.500 0.500 0.500
0.832 0.168 0.500
0.168 0.832 0.500
```

Calculated values
As for the theoretical density: 4.050 g cm⁻³. The calculated volume is 394.23 Å³ per cell. As for the raw formation energy: -1610 meV per atom.

[5]
Density functional theory data (GGA-PBE) for a relaxed RbBaUS4 crystal.

Cell and atoms, written as POSCAR:
```
RbBaUS4
1.0
5.231 0.000 0.000
0.000 5.231 0.000
-2.616 -2.616 8.028
S Rb Ba U
4 1 1 1
direct
0.844 0.844 0.687
0.994 0.494 0.987
0.494 0.994 0.987
0.161 0.161 0.322
0.644 0.644 0.288
0.361 0.361 0.721
0.003 0.003 0.006
```

Calculated values
As for the theoretical density: 4.453 g cm⁻³. The calculated volume is 219.68 Å³ per cell. As for the raw formation energy: -1573 meV per atom.

[6]
Density functional theory data (GGA-PBE) for a relaxed RbBaVS4 crystal.

Cell and atoms, written as POSCAR:
```
RbBaVS4
1.0
-1.417 1.001 -6.855
-6.639 0.551 1.452
1.511 8.513 3.677
S Rb V Ba
8 2 2 2
direct
0.995 0.999 0.744
0.645 0.250 0.463
0.005 0.001 0.256
0.995 0.501 0.744
0.355 0.750 0.537
0.005 0.499 0.256
0.398 0.750 0.167
0.602 0.250 0.833
0.716 0.750 0.935
0.284 0.250 0.065
0.802 0.250 0.698
0.198 0.750 0.302
0.234 0.250 0.544
0.766 0.750 0.456
```

Calculated values
As for the theoretical density: 3.073 g cm⁻³. The calculated volume is 434.46 Å³ per cell. As for the raw formation energy: -1387 meV per atom.

[7]
Density functional theory data (GGA-PBE) for a relaxed RbBaYS2 crystal.

Cell and atoms, written as POSCAR:
```
RbBaYS2
1.0
-0.620 -1.786 5.724
-0.343 -5.782 -1.841
5.987 -0.511 0.490
Rb S Ba Y
1 2 1 1
direct
0.500 0.500 0.500
0.000 0.000 0.500
0.500 0.000 0.000
0.000 0.000 0.000
0.000 0.500 0.000
```

Calculated values
As for the theoretical density: 2.825 g cm⁻³. The calculated volume is 220.89 Å³ per cell. As for the raw formation energy: 113 meV per atom.

[8]
Density functional theory data (GGA-PBE) for a relaxed Rb2BaZn2S4 crystal.

Cell and atoms, written as POSCAR:
```
Rb2BaZn2S4
1.0
4.186 0.000 0.000
0.000 8.662 -0.190
-2.093 -3.595 7.521
Rb S Zn Ba
2 4 2 1
direct
0.122 0.572 0.243
0.878 0.428 0.757
0.524 0.756 0.048
0.215 0.140 0.430
0.476 0.244 0.952
0.785 0.860 0.570
0.328 0.038 0.657
0.672 0.962 0.343
0.000 0.000 0.000
```

Calculated values
As for the theoretical density: 3.491 g cm⁻³. The calculated volume is 269.84 Å³ per cell. As for the raw formation energy: -1202 meV per atom.

no.,spin magnetization (μB/f.u.)
1,0.00
2,1.00
3,2.00
4,1.00
5,1.00
6,0.00
7,1.03
8,0.00